First-principles (PBE) data for a relaxed structure of HoEr2Ga6, as listed in the Alexandria database.

Values from the calculation:
* ΔE_f: -459.5 meV per atom
* density: 7.7 g/cm³

abc: 4.2696 6.9230 13.3141
angles: 90.00 90.00 90.00
Last column: nearest neighbours and their distance in Å.
Space group Immm (No. 71)
Inequivalent atoms, fractional coordinates:
Ho  0.0000  0.0000  0.0000 x2  4 Ga 3.02
Er  0.0000  0.5000  0.1248 x4  10 Ga 2.86-3.12
Ga  0.0000  0.1906  0.5000 x4  3 Ga 2.60-2.64
Ga  0.0000  0.3069  0.3146 x8  4 Ga 2.60-2.85, 1 Er 2.86